# 1
BaAc8Nd6 | PBE-GGA | optimized geometry

Computed properties:
Energy of formation   3.668 eV/f.u.
V   1982.4 Å³ per cell
Energy   -3.98 eV/atom

Lattice parameters (Å, degrees): 10.3024 10.3024 21.5664 90.00 90.00 120.00
Space group R-3 (No. 148, hexagonal axes)
One atom of each set of equivalent atoms:
Ba (0.0000, 0.0000, 0.0000) [3 per cell]
Ac (0.0000, 0.0000, 0.2619) [6 per cell]
Ac (0.0136, 0.3116, 0.1251) [18 per cell]
Nd (0.0050, 0.7059, 0.3718) [18 per cell]


# 2
BaAc14Nd | PBE-GGA | optimized geometry

Computed properties:
Energy of formation   0.614 eV/f.u.
V   1446.9 Å³ per cell
Energy   -3.97 eV/atom

Lattice parameters (Å, degrees): 11.294 11.319 11.318 90.00 90.00 90.00
Space group Amm2 (No. 38)
One atom of each set of equivalent atoms:
Ba (0.000, 0.000, 0.000) [2 per cell]
Ac (0.000, 0.249, 0.750) [4 per cell]
Ac (0.251, 0.000, 0.255) [4 per cell]
Ac (0.251, 0.000, 0.744) [4 per cell]
Ac (0.251, 0.245, 0.499) [8 per cell]
Ac (0.500, 0.000, 0.500) [2 per cell]
Ac (0.500, 0.000, 0.999) [2 per cell]
Ac (0.500, 0.249, 0.249) [4 per cell]
Nd (0.000, 0.000, 0.499) [2 per cell]